# Pr2InNi, relaxed, DFT PBE-GGA
# **Crystal system**: monoclinic
# **Energy of formation**: -0.314 eV/atom
data_Pr2InNi
_cell_length_a 6.522
_cell_length_b 3.865
_cell_length_c 9.133
_cell_angle_alpha 90.00
_cell_angle_beta 108.93
_cell_angle_gamma 90.00
_space_group_name_H-M_alt 'P 1 21/m 1'
_space_group_IT_number 11
loop_
_space_group_symop_operation_xyz
'x,y,z'
'-x,-y,-z'
'-x,y+1/2,-z'
'x,-y+1/2,z'
loop_
_atom_site_label
_atom_site_fract_x
_atom_site_fract_y
_atom_site_fract_z
Pr1 0.176 0.250 0.390
Pr2 0.261 0.750 0.045
In1 0.362 0.750 0.705
Ni1 0.122 0.250 0.799